Zn2Cd5Ag4 | PBE-GGA | optimized geometry

As for the density of states at the Fermi level: 0.326 states/eV per atom. For the calculated formation energy, the calculation gives 1.0 eV/f.u. The calculation puts the calculated total energy at -1.59 eV per atom.

The structure belongs to space group C2/m (No. 12); the cell edges are 20.201, 2.991 and 7.685 Å and the angles 90.00°, 91.97° and 90.00°. The asymmetric unit holds Zn at (0.239, 0.000, 0.350), Cd at (0.000, 0.000, 0.000), Cd at (0.127, 0.500, 0.556), Cd at (0.179, 0.500, 0.938), Ag at (0.003, 0.500, 0.320) and Ag at (0.119, 0.000, 0.214).